# 1
# AgBiBH6 | the Open Quantum Materials Database | GGA-PBE | optimized geometry
data_AgBiBH6
_symmetry_space_group_name_H-M 'F -4 3 m'
_symmetry_Int_Tables_number 216
_symmetry_space_group_name_Hall 'F -4 2 3'
_cell_length_a 6.9278
_cell_length_b 6.9278
_cell_length_c 6.9278
_cell_angle_alpha 90.00
_cell_angle_beta 90.00
_cell_angle_gamma 90.00
loop_
_atom_site_label
_atom_site_type_symbol
_atom_site_fract_x
_atom_site_fract_y
_atom_site_fract_z
Ag1 Ag 0.0000 0.0000 0.0000
Bi1 Bi 0.0000 0.0000 0.5000
B1 B 0.2500 0.2500 0.7500
H1 H 0.0426 0.2500 0.7500
# E_tot = -3.037 eV/atom
# Mass density = 6666 kg/m3

# 2
# TlPIrO | the Open Quantum Materials Database | GGA-PBE | optimized geometry
data_TlPIrO
_symmetry_space_group_name_H-M 'P m c 21'
_symmetry_Int_Tables_number 26
_symmetry_space_group_name_Hall 'P 2c -2'
_cell_length_a 3.5306
_cell_length_b 8.0761
_cell_length_c 5.4411
_cell_angle_alpha 90.00
_cell_angle_beta 90.00
_cell_angle_gamma 90.00
loop_
_atom_site_label
_atom_site_type_symbol
_atom_site_fract_x
_atom_site_fract_y
_atom_site_fract_z
Tl1 Tl 0.0000 0.1143 0.0000
P1 P 0.0000 0.3602 0.4242
Ir1 Ir 0.5000 0.4829 0.6364
O1 O 0.5000 0.3115 0.9116
# Energy relative to the lowest polymorph listed for this composition = 0.033 eV/atom
# E_tot = -5.705 eV/atom
# Mass density = 9495 kg/m3

# 3
# MgNi | the Open Quantum Materials Database | GGA-PBE | optimized geometry
data_MgNi
_symmetry_space_group_name_H-M 'A m m 2'
_symmetry_Int_Tables_number 38
_symmetry_space_group_name_Hall 'A 2 -2'
_cell_length_a 4.3029
_cell_length_b 15.1991
_cell_length_c 4.4361
_cell_angle_alpha 90.00
_cell_angle_beta 90.00
_cell_angle_gamma 90.00
loop_
_atom_site_label
_atom_site_type_symbol
_atom_site_fract_x
_atom_site_fract_y
_atom_site_fract_z
Mg1 Mg 0.0000 0.0000 0.0000
Mg2 Mg 0.0000 0.1848 0.9458
Mg3 Mg 0.5000 0.1751 0.4053
Ni1 Ni 0.0000 0.0839 0.4930
Ni2 Ni 0.5000 0.0000 0.3930
Ni3 Ni 0.5000 0.0848 0.8843
# E_tot = -3.643 eV/atom
# Mass density = 4750 kg/m3

# 4
# K4ZnTeO6 | the Open Quantum Materials Database | GGA-PBE | optimized geometry
data_K4ZnTeO6
_symmetry_space_group_name_H-M 'C 1 2 1'
_symmetry_Int_Tables_number 5
_symmetry_space_group_name_Hall 'C 2y'
_cell_length_a 5.8095
_cell_length_b 10.0245
_cell_length_c 6.3009
_cell_angle_alpha 90.00
_cell_angle_beta 107.79
_cell_angle_gamma 90.00
loop_
_atom_site_label
_atom_site_type_symbol
_atom_site_fract_x
_atom_site_fract_y
_atom_site_fract_z
K1 K 0.0000 0.0000 0.0000
K2 K 0.0000 0.1536 0.5000
K3 K 0.0000 0.5175 0.5000
K4 K 0.0000 0.8451 0.5000
Zn1 Zn 0.0000 0.6680 0.0000
Te1 Te 0.0000 0.3353 0.0000
O1 O 0.1744 0.4854 0.1872
O2 O 0.2095 0.3155 0.8048
O3 O 0.2363 0.2052 0.1874
# E_tot = -4.561 eV/atom
# Mass density = 4234 kg/m3

# 5
# PrLuSn | the Open Quantum Materials Database | GGA-PBE | optimized geometry
data_PrLuSn
_symmetry_space_group_name_H-M 'F -4 3 m'
_symmetry_Int_Tables_number 216
_symmetry_space_group_name_Hall 'F -4 2 3'
_cell_length_a 7.3378
_cell_length_b 7.3378
_cell_length_c 7.3378
_cell_angle_alpha 90.00
_cell_angle_beta 90.00
_cell_angle_gamma 90.00
loop_
_atom_site_label
_atom_site_type_symbol
_atom_site_fract_x
_atom_site_fract_y
_atom_site_fract_z
Pr1 Pr 0.0000 0.0000 0.0000
Lu1 Lu 0.0000 0.0000 0.5000
Sn1 Sn 0.2500 0.2500 0.7500
# Energy relative to the lowest polymorph listed for this composition = 0.000 eV/atom
# E_tot = -4.797 eV/atom
# Mass density = 7306 kg/m3

# 6
# BeNbMo2 | the Open Quantum Materials Database | GGA-PBE | optimized geometry
data_BeNbMo2
_symmetry_space_group_name_H-M 'F -4 3 m'
_symmetry_Int_Tables_number 216
_symmetry_space_group_name_Hall 'F -4 2 3'
_cell_length_a 6.2162
_cell_length_b 6.2162
_cell_length_c 6.2162
_cell_angle_alpha 90.00
_cell_angle_beta 90.00
_cell_angle_gamma 90.00
loop_
_atom_site_label
_atom_site_type_symbol
_atom_site_fract_x
_atom_site_fract_y
_atom_site_fract_z
Be1 Be 0.0000 0.0000 0.0000
Nb1 Nb 0.2500 0.2500 0.2500
Mo1 Mo 0.0000 0.0000 0.5000
Mo2 Mo 0.2500 0.2500 0.7500
# E_tot = -8.710 eV/atom
# Mass density = 8124 kg/m3

# 7
# Mo3Se | the Open Quantum Materials Database | GGA-PBE | optimized geometry
data_Mo3Se
_symmetry_space_group_name_H-M 'I 4/m m m'
_symmetry_Int_Tables_number 139
_symmetry_space_group_name_Hall '-I 4 2'
_cell_length_a 3.7206
_cell_length_b 3.7206
_cell_length_c 9.1178
_cell_angle_alpha 90.00
_cell_angle_beta 90.00
_cell_angle_gamma 90.00
loop_
_atom_site_label
_atom_site_type_symbol
_atom_site_fract_x
_atom_site_fract_y
_atom_site_fract_z
Mo1 Mo 0.0000 0.0000 0.0000
Mo2 Mo 0.0000 0.5000 0.2500
Se1 Se 0.0000 0.0000 0.5000
# E_tot = -8.620 eV/atom
# Mass density = 9651 kg/m3

# 8
# AgAuF6 | the Open Quantum Materials Database | GGA-PBE | optimized geometry
data_AgAuF6
_symmetry_space_group_name_H-M 'P -1'
_symmetry_Int_Tables_number 2
_symmetry_space_group_name_Hall '-P 1'
_cell_length_a 4.9623
_cell_length_b 4.9653
_cell_length_c 5.6513
_cell_angle_alpha 64.03
_cell_angle_beta 64.10
_cell_angle_gamma 60.11
loop_
_atom_site_label
_atom_site_type_symbol
_atom_site_fract_x
_atom_site_fract_y
_atom_site_fract_z
Ag1 Ag 0.0000 0.0000 0.0000
Au1 Au 0.5000 0.5000 0.5000
F1 F 0.0826 0.7261 0.7383
F2 F 0.2736 0.5457 0.2615
F3 F 0.4535 0.0822 0.7389
# E_tot = -3.143 eV/atom
# Mass density = 6676 kg/m3

# 9
# Y2TaB | the Open Quantum Materials Database | GGA-PBE | optimized geometry
data_Y2TaB
_symmetry_space_group_name_H-M 'F -4 3 m'
_symmetry_Int_Tables_number 216
_symmetry_space_group_name_Hall 'F -4 2 3'
_cell_length_a 6.7609
_cell_length_b 6.7609
_cell_length_c 6.7609
_cell_angle_alpha 90.00
_cell_angle_beta 90.00
_cell_angle_gamma 90.00
loop_
_atom_site_label
_atom_site_type_symbol
_atom_site_fract_x
_atom_site_fract_y
_atom_site_fract_z
Y1 Y 0.0000 0.0000 0.0000
Y2 Y 0.2500 0.2500 0.2500
Ta1 Ta 0.2500 0.2500 0.7500
B1 B 0.0000 0.0000 0.5000
# E_tot = -6.936 eV/atom
# Mass density = 7943 kg/m3

# 10
# HfFeGe | the Open Quantum Materials Database | GGA-PBE | optimized geometry
data_HfFeGe
_symmetry_space_group_name_H-M 'P -6 2 m'
_symmetry_Int_Tables_number 189
_symmetry_space_group_name_Hall 'P -6 -2'
_cell_length_a 6.9232
_cell_length_b 6.9232
_cell_length_c 3.2857
_cell_angle_alpha 90.00
_cell_angle_beta 90.00
_cell_angle_gamma 120.00
loop_
_atom_site_label
_atom_site_type_symbol
_atom_site_fract_x
_atom_site_fract_y
_atom_site_fract_z
Hf1 Hf 0.0000 0.6028 0.0000
Fe1 Fe 0.0000 0.0000 0.0000
Fe2 Fe 0.3333 0.6667 0.5000
Ge1 Ge 0.0000 0.2692 0.5000
# E_tot = -8.127 eV/atom
# Mass density = 11213 kg/m3

# 11
# SrTbHo | the Open Quantum Materials Database | GGA-PBE | optimized geometry
data_SrTbHo
_symmetry_space_group_name_H-M 'F -4 3 m'
_symmetry_Int_Tables_number 216
_symmetry_space_group_name_Hall 'F -4 2 3'
_cell_length_a 8.1174
_cell_length_b 8.1174
_cell_length_c 8.1174
_cell_angle_alpha 90.00
_cell_angle_beta 90.00
_cell_angle_gamma 90.00
loop_
_atom_site_label
_atom_site_type_symbol
_atom_site_fract_x
_atom_site_fract_y
_atom_site_fract_z
Sr1 Sr 0.0000 0.0000 0.0000
Tb1 Tb 0.0000 0.0000 0.5000
Ho1 Ho 0.2500 0.2500 0.2500
# E_tot = -2.816 eV/atom
# Mass density = 5110 kg/m3

# 12
# RbZr2As3O12 | the Open Quantum Materials Database | GGA-PBE | optimized geometry
data_RbZr2As3O12
_symmetry_space_group_name_H-M 'R -3 c'
_symmetry_Int_Tables_number 167
_symmetry_space_group_name_Hall '-R 3 2"c'
_cell_length_a 9.0073
_cell_length_b 9.0073
_cell_length_c 25.3029
_cell_angle_alpha 90.00
_cell_angle_beta 90.00
_cell_angle_gamma 120.00
loop_
_atom_site_label
_atom_site_type_symbol
_atom_site_fract_x
_atom_site_fract_y
_atom_site_fract_z
Rb1 Rb 0.0000 0.0000 0.0000
Zr1 Zr 0.0000 0.0000 0.1498
As1 As 0.0000 0.2798 0.2500
O1 O 0.0297 0.1931 0.9011
O2 O 0.0687 0.2149 0.1969
# E_tot = -7.131 eV/atom
# Mass density = 3837 kg/m3